Below is a relaxed ZrVIn2I crystal, with properties calculated at the GGA-PBE level.

abc: 5.3931 5.3931 4.8316
angles: 90.00 90.00 90.00
Last column: nearest neighbours and their distance in Å.
Positions (direct):
Zr 0.0000 0.0000 0.0000  2 V 2.42
V 0.0000 0.0000 0.5000  2 Zr 2.42, 4 In 2.70
In 0.0000 0.5000 0.5000  2 V 2.70
In 0.5000 0.0000 0.5000  2 V 2.70
I 0.5000 0.5000 0.0000  8 In 3.62, 4 Zr 3.81

Calculated total energy, eV/cell: -22.6
Uncorrected formation energy, meV per atom: 417
Density, g/cm³: 5.89

***

Below is a relaxed CeSm2Br crystal, with properties calculated at the GGA-PBE level.

abc: 10.5356 10.5356 10.5356
angles: 20.13 20.13 20.13
Last column: nearest neighbours and their distance in Å.
Positions (direct):
Ce 0.0000 0.0000 0.0000  6 Sm 3.51, 6 Ce 3.68
Sm 0.2430 0.2430 0.2430  3 Br 3.18, 3 Ce 3.51
Sm 0.7570 0.7570 0.7570  3 Br 3.18, 3 Ce 3.51
Br 0.5000 0.5000 0.5000  6 Sm 3.18

Energy above the lowest structure with this stoichiometry, eV/atom: 0.000
Calculated total energy, eV/cell: -19.1
Uncorrected formation energy, meV per atom: -511
Density, g/cm³: 7.13

***

Below is a relaxed TbHg4 crystal, with properties calculated at the GGA-PBE level.

abc: 6.0379 6.0379 6.0379
angles: 90.00 90.00 90.00
Last column: nearest neighbours and their distance in Å.
Positions (direct):
Tb 0.0000 0.0000 0.0000  6 Hg 3.02
Hg 0.0000 0.0000 0.5000  2 Tb 3.02
Hg 0.0000 0.5000 0.0000  2 Tb 3.02
Hg 0.5000 0.0000 0.0000  2 Tb 3.02
Hg 0.5000 0.5000 0.5000  12 Hg 4.27

Energy above the lowest structure with this stoichiometry, eV/atom: 0.501
Calculated total energy, eV/cell: -4.4
Density, g/cm³: 7.25
E_form, meV/atom: 280

***

Below is a relaxed HgSbPb crystal, with properties calculated at the GGA-PBE level.

abc: 10.4735 4.6477 8.1003
angles: 90.00 90.00 90.00
Last column: nearest neighbours and their distance in Å.
Positions (direct):
Hg 0.0665 0.2500 0.1458  3 Sb 3.15-3.42, 1 Pb 3.18
Hg 0.4335 0.7500 0.6458  3 Sb 3.15-3.42, 1 Pb 3.18
Hg 0.5665 0.2500 0.3542  3 Sb 3.15-3.42, 1 Pb 3.18
Hg 0.9335 0.7500 0.8542  3 Sb 3.15-3.42, 1 Pb 3.18
Sb 0.1103 0.2500 0.7269  4 Pb 3.10-3.27, 3 Hg 3.15-3.42
Sb 0.3897 0.7500 0.2269  4 Pb 3.10-3.27, 3 Hg 3.15-3.42
Sb 0.6103 0.2500 0.7731  4 Pb 3.10-3.27, 3 Hg 3.15-3.42
Sb 0.8897 0.7500 0.2731  4 Pb 3.10-3.27, 3 Hg 3.15-3.42
Pb 0.1579 0.7500 0.4805  4 Sb 3.10-3.27, 1 Hg 3.18
Pb 0.3421 0.2500 0.9805  4 Sb 3.10-3.27, 1 Hg 3.18
Pb 0.6579 0.7500 0.0195  4 Sb 3.10-3.27, 1 Hg 3.18
Pb 0.8421 0.2500 0.5195  4 Sb 3.10-3.27, 1 Hg 3.18

Energy above the lowest structure with this stoichiometry, eV/atom: 0.004
Calculated total energy, eV/cell: -31.5
Uncorrected formation energy, meV per atom: 84
Density, g/cm³: 8.92

***

Below is a relaxed Ce2BPd2Pt4 crystal, with properties calculated at the GGA-PBE level.

abc: 6.0463 6.0463 6.0463
angles: 120.05 120.05 89.91
Last column: nearest neighbours and their distance in Å.
Positions (direct):
Ce 0.2500 0.7500 0.5000  8 Pt 3.02, 4 Pd 3.02
Ce 0.7500 0.2500 0.5000  8 Pt 3.02, 4 Pd 3.02
B 0.0000 0.0000 0.0000  4 Pt 2.16, 2 Pd 2.27
Pd 0.2655 0.2655 0.0000  1 B 2.27
Pd 0.7345 0.7345 0.0000  1 B 2.27
Pt 0.2529 0.2529 0.5058  1 B 2.16
Pt 0.2529 0.7471 0.0000  1 B 2.16
Pt 0.7471 0.2529 0.0000  1 B 2.16
Pt 0.7471 0.7471 0.4942  1 B 2.16

Calculated total energy, eV/cell: -60.6
Density, g/cm³: 13.65
E_form, meV/atom: -837